Here is Ba2CuPdAu after structural relaxation from the Alexandria database. Energies are from PBE.

Cell lengths 6.026, 5.112, 6.026 Å; angles 90.00, 90.00, 90.00 degrees
Atoms (fractional coordinates):
Pd 0.000 0.000 0.000
Ba 0.000 0.000 0.500
Ba 0.500 0.000 0.000
Au 0.000 0.500 0.000
Cu 0.500 0.500 0.500

Its volume is 186 Å³/f.u. The crystal system is tetragonal. The space-group type is No. 123. Its formation energy from the elements is -8 kJ/mol of atoms.